# 1
Compound: Sm2DyHo4Tm2
Source: the Alexandria database
Functional: GGA-PBE
Structure: relaxed

```
Sm2DyHo4Tm2
1.0
9.274 -1.788 0.000
9.274 1.788 0.000
-4.127 0.000 8.545
Sm Dy Ho Tm
2 1 4 2
Direct
0.148 0.148 0.166
0.852 0.852 0.834
0.000 0.000 0.500
0.185 0.185 0.833
0.481 0.481 0.169
0.519 0.519 0.831
0.815 0.815 0.167
0.333 0.333 0.498
0.667 0.667 0.502
```

Results
- space-group type = C2/m
- crystal system = monoclinic
- spin magnetization (μB per formula unit) = 0.0
- N(E_F) (states/eV/cell) = 12.03
- electronic total energy (eV per atom) = -4.580

---

# 2
Compound: Sm6DyHoTm2
Source: the Alexandria database
Functional: GGA-PBE
Structure: relaxed

```
Sm6DyHoTm2
1.0
4.587 -7.569 0.000
4.587 7.569 0.000
-1.207 0.000 9.480
Sm Dy Ho Tm
12 2 2 4
Direct
0.012 0.564 0.185
0.117 0.760 0.554
0.240 0.883 0.946
0.292 0.510 0.381
0.436 0.988 0.315
0.490 0.708 0.119
0.510 0.292 0.881
0.564 0.012 0.685
0.708 0.490 0.619
0.760 0.117 0.054
0.883 0.240 0.446
0.988 0.436 0.815
0.028 0.972 0.250
0.972 0.028 0.750
0.410 0.590 0.750
0.590 0.410 0.250
0.200 0.300 0.046
0.300 0.200 0.546
0.700 0.800 0.454
0.800 0.700 0.954
```

Results
- space-group type = C2/c
- crystal system = monoclinic
- spin magnetization (μB per formula unit) = 0.0
- N(E_F) (states/eV/cell) = 28.59
- electronic total energy (eV per atom) = -4.525

---

# 3
Compound: Sm2DyHo6Tm3
Source: the Alexandria database
Functional: GGA-PBE
Structure: relaxed

```
Sm2DyHo6Tm3
1.0
3.062 -5.297 0.000
3.062 5.297 0.000
-2.034 0.000 11.524
Sm Dy Ho Tm
2 1 6 3
Direct
0.167 0.833 0.000
0.833 0.167 0.000
0.500 0.500 0.000
0.082 0.415 0.747
0.252 0.252 0.253
0.415 0.082 0.747
0.585 0.918 0.253
0.748 0.748 0.747
0.918 0.585 0.253
0.000 0.000 0.500
0.334 0.666 0.500
0.666 0.334 0.500
```

Results
- space-group type = C2/m
- crystal system = monoclinic
- spin magnetization (μB per formula unit) = 0.0
- N(E_F) (states/eV/cell) = 16.11
- electronic total energy (eV per atom) = -4.556